A relaxed structure of SmDyHo2Sb4. Source: Alexandria, functional PBE-GGA.

a b c (Å): 7.617 4.401 7.618
angles (deg): 90.00 109.48 90.00
Fractional positions:
Sm  0.000  0.000  0.000
Dy  0.000  0.500  0.500
Ho  0.500  0.000  0.500
Ho  0.500  0.500  0.000
Sb  0.253  0.000  0.748
Sb  0.255  0.500  0.254
Sb  0.745  0.500  0.746
Sb  0.747  0.000  0.252

Raw formation energy, eV/atom: -1.13
Uncorrected energy, eV per formula unit: -44.0
Total moment, μB per formula unit: 0.00